Record 1
The following is a GGA-PBE calculation of a relaxed structure of Ac2TbAs4Pt3, from Alexandria via LeMat-Bulk.

a = 4.554 Å, b = 4.554 Å, c = 10.894 Å
α = 90.00°, β = 90.00°, γ = 90.00°
Sites, in units of the cell vectors:
Pt (0.000, 0.000, 0.500)
Pt (0.000, 0.500, 0.110)
Pt (0.500, 0.000, 0.890)
Tb (0.500, 0.500, 0.500)
As (0.500, 0.500, 0.000)
As (0.000, 0.000, 0.000)
As (0.000, 0.500, 0.347)
As (0.500, 0.000, 0.653)
Ac (0.000, 0.500, 0.776)
Ac (0.500, 0.000, 0.224)

Summary:
formation enthalpy at 0 K	-1023.9	meV/atom
M_tot	0.0	μB/f.u.

---

Record 2
The following is a GGA-PBE calculation of a relaxed structure of AcTbAs2Pt2, from Alexandria via LeMat-Bulk.

a = 4.387 Å, b = 4.387 Å, c = 8.101 Å
α = 90.00°, β = 90.00°, γ = 120.00°
Sites, in units of the cell vectors:
Ac (0.000, 0.000, 0.000)
Pt (0.667, 0.333, 0.276)
Pt (0.333, 0.667, 0.724)
Tb (0.000, 0.000, 0.500)
As (0.667, 0.333, 0.737)
As (0.333, 0.667, 0.263)

Summary:
formation enthalpy at 0 K	-1247.5	meV/atom
M_tot	0.0	μB/f.u.

---

Record 3
The following is a GGA-PBE calculation of a relaxed structure of Ac2TbAs3Pt12, from Alexandria via LeMat-Bulk.

a = 8.021 Å, b = 8.021 Å, c = 8.021 Å
α = 64.15°, β = 64.15°, γ = 64.15°
Sites, in units of the cell vectors:
Pt (0.650, 0.650, 0.107)
Pt (0.138, 0.138, 0.608)
Pt (0.862, 0.392, 0.862)
Pt (0.608, 0.138, 0.138)
Pt (0.350, 0.893, 0.350)
Pt (0.862, 0.862, 0.392)
Pt (0.138, 0.608, 0.138)
Pt (0.107, 0.650, 0.650)
Pt (0.893, 0.350, 0.350)
Pt (0.350, 0.350, 0.893)
Pt (0.392, 0.862, 0.862)
Pt (0.650, 0.107, 0.650)
Ac (0.607, 0.607, 0.607)
Ac (0.393, 0.393, 0.393)
As (0.000, 0.000, 0.500)
As (0.000, 0.500, 0.000)
As (0.500, 0.000, 0.000)
Tb (0.000, 0.000, 0.000)

Summary:
formation enthalpy at 0 K	-342.9	meV/atom
M_tot	0.0	μB/f.u.

---

Record 4
The following is a GGA-PBE calculation of a relaxed structure of Ac2TbAs3Pt4, from Alexandria via LeMat-Bulk.

a = 4.430 Å, b = 4.430 Å, c = 11.356 Å
α = 90.00°, β = 90.00°, γ = 90.00°
Sites, in units of the cell vectors:
Pt (0.500, 0.000, 0.656)
Pt (0.000, 0.500, 0.344)
Pt (0.000, 0.000, 0.000)
Pt (0.500, 0.500, 0.000)
Tb (0.500, 0.500, 0.500)
As (0.500, 0.000, 0.878)
As (0.000, 0.000, 0.500)
As (0.000, 0.500, 0.122)
Ac (0.000, 0.500, 0.778)
Ac (0.500, 0.000, 0.222)

Summary:
formation enthalpy at 0 K	-979.0	meV/atom
M_tot	0.0	μB/f.u.

---

Record 5
The following is a GGA-PBE calculation of a relaxed structure of Ac4TeAsPt2, from Alexandria via LeMat-Bulk.

a = 4.441 Å, b = 7.722 Å, c = 8.142 Å
α = 108.10°, β = 90.00°, γ = 90.00°
Sites, in units of the cell vectors:
Pt (0.500, 0.000, 0.500)
Pt (0.000, 0.500, 0.500)
As (0.500, 0.500, 0.000)
Ac (0.000, 0.255, 0.733)
Ac (0.500, 0.269, 0.276)
Ac (0.000, 0.745, 0.267)
Ac (0.500, 0.731, 0.724)
Te (0.000, 0.000, 0.000)

Summary:
formation energy (no corrections)	-1.271	eV/atom
M_tot	0.0	μB/f.u.

---

Record 6
The following is a GGA-PBE calculation of a relaxed structure of Ac8Te3AsPt3, from Alexandria via LeMat-Bulk.

a = 9.023 Å, b = 9.028 Å, c = 9.409 Å
α = 118.67°, β = 90.02°, γ = 119.99°
Sites, in units of the cell vectors:
Te (0.500, 0.500, 0.000)
Te (0.000, 0.500, 0.000)
Te (0.000, 0.000, 0.000)
Ac (0.755, 0.026, 0.281)
Ac (0.270, 0.025, 0.281)
Ac (0.245, 0.974, 0.719)
Ac (0.245, 0.489, 0.719)
Ac (0.730, 0.975, 0.719)
Ac (0.755, 0.511, 0.281)
Ac (0.737, 0.475, 0.712)
Ac (0.263, 0.525, 0.288)
Pt (0.000, 0.500, 0.500)
Pt (0.500, 0.500, 0.500)
Pt (0.500, 0.000, 0.500)
As (0.000, 0.000, 0.500)

Summary:
formation energy (no corrections)	-1.223	eV/atom
M_tot	0.0	μB/f.u.

---

Record 7
The following is a GGA-PBE calculation of a relaxed structure of Ac6Te3AsPt2, from Alexandria via LeMat-Bulk.

a = 7.843 Å, b = 7.843 Å, c = 8.359 Å
α = 99.08°, β = 99.08°, γ = 119.98°
Sites, in units of the cell vectors:
As (0.000, 0.000, 0.000)
Te (0.500, 0.500, 0.500)
Te (0.838, 0.162, 0.500)
Te (0.162, 0.838, 0.500)
Pt (0.333, 0.667, 0.000)
Pt (0.667, 0.333, 0.000)
Ac (0.730, 0.730, 0.217)
Ac (0.586, 0.928, 0.782)
Ac (0.072, 0.414, 0.218)
Ac (0.270, 0.270, 0.783)
Ac (0.928, 0.586, 0.782)
Ac (0.414, 0.072, 0.218)

Summary:
formation energy (no corrections)	-1.388	eV/atom
M_tot	0.0	μB/f.u.

---

Record 8
The following is a GGA-PBE calculation of a relaxed structure of Ac2TiAs4Pt3, from Alexandria via LeMat-Bulk.

a = 4.498 Å, b = 4.498 Å, c = 10.436 Å
α = 90.00°, β = 90.00°, γ = 90.00°
Site moments in Bohr magnetons follow the coordinates.
Sites, in units of the cell vectors:
Ac (0.500, 0.000, 0.237)  0.04
Ac (0.000, 0.500, 0.763)  0.04
Pt (0.000, 0.500, 0.119)  0.00
Pt (0.500, 0.000, 0.881)  0.00
Pt (0.000, 0.000, 0.500)  0.01
Ti (0.500, 0.500, 0.500)  0.90
As (0.000, 0.000, 0.000)  0.01
As (0.000, 0.500, 0.368)  -0.02
As (0.500, 0.000, 0.632)  -0.02
As (0.500, 0.500, 0.000)  0.00

Summary:
formation enthalpy at 0 K	-948.6	meV/atom
M_tot	1.3	μB/f.u.

---

Record 9
The following is a GGA-PBE calculation of a relaxed structure of Ac2TmAs3Pt4, from Alexandria via LeMat-Bulk.

a = 4.420 Å, b = 4.420 Å, c = 11.280 Å
α = 90.00°, β = 90.00°, γ = 90.00°
Sites, in units of the cell vectors:
Pt (0.500, 0.500, 0.000)
Pt (0.000, 0.500, 0.349)
Pt (0.000, 0.000, 0.000)
Pt (0.500, 0.000, 0.651)
As (0.000, 0.000, 0.500)
As (0.000, 0.500, 0.124)
As (0.500, 0.000, 0.876)
Ac (0.500, 0.000, 0.223)
Ac (0.000, 0.500, 0.777)
Tm (0.500, 0.500, 0.500)

Summary:
formation enthalpy at 0 K	-988.8	meV/atom
M_tot	0.0	μB/f.u.

---

Record 10
The following is a GGA-PBE calculation of a relaxed structure of Ac2TmAs4Pt3, from Alexandria via LeMat-Bulk.

a = 4.540 Å, b = 4.540 Å, c = 10.829 Å
α = 90.00°, β = 90.00°, γ = 90.00°
Sites, in units of the cell vectors:
Ac (0.000, 0.500, 0.774)
Ac (0.500, 0.000, 0.226)
Pt (0.000, 0.500, 0.112)
Pt (0.500, 0.000, 0.888)
Pt (0.000, 0.000, 0.500)
Tm (0.500, 0.500, 0.500)
As (0.000, 0.500, 0.351)
As (0.500, 0.500, 0.000)
As (0.500, 0.000, 0.649)
As (0.000, 0.000, 0.000)

Summary:
formation enthalpy at 0 K	-1026.7	meV/atom
M_tot	0.0	μB/f.u.

---

Record 11
The following is a GGA-PBE calculation of a relaxed structure of AcTmAsPt, from Alexandria via LeMat-Bulk.

a = 5.206 Å, b = 5.206 Å, c = 5.206 Å
α = 60.00°, β = 60.00°, γ = 60.00°
Sites, in units of the cell vectors:
Ac (0.500, 0.500, 0.500)
As (0.750, 0.750, 0.750)
Pt (0.250, 0.250, 0.250)
Tm (0.000, 0.000, 0.000)

Summary:
formation enthalpy at 0 K	-941.2	meV/atom
M_tot	0.0	μB/f.u.

---

Record 12
The following is a GGA-PBE calculation of a relaxed structure of AcYAs2Pt2, from Alexandria via LeMat-Bulk.

a = 4.383 Å, b = 4.383 Å, c = 8.102 Å
α = 90.00°, β = 90.00°, γ = 120.00°
Sites, in units of the cell vectors:
As (0.667, 0.333, 0.737)
As (0.333, 0.667, 0.263)
Ac (0.000, 0.000, 0.000)
Pt (0.333, 0.667, 0.724)
Pt (0.667, 0.333, 0.276)
Y (0.000, 0.000, 0.500)

Summary:
formation enthalpy at 0 K	-1245.6	meV/atom
M_tot	0.0	μB/f.u.